(A)
Computed, not measured: a geometry-optimized Zn2GaPb structure at the PBE-GGA level of DFT.

**Space-group type**: R3m

a = 6.1743 Å, b = 6.1743 Å, c = 6.1743 Å
α = 40.26°, β = 40.26°, γ = 40.26°
Fractional positions:
1 Zn 0.0000 0.0000 0.0000
2 Zn 0.2350 0.2350 0.2350
3 Ga 0.6011 0.6011 0.6011
4 Pb 0.7857 0.7857 0.7857

***

(B)
Computed, not measured: a geometry-optimized Zn2GaPb structure at the PBE-GGA level of DFT.

**Space-group type**: I-42d

a = 9.1630 Å, b = 9.1630 Å, c = 9.1630 Å
α = 150.95°, β = 150.95°, γ = 41.55°
Fractional positions:
1 Zn 0.0320 0.6250 0.9070
2 Zn 0.3750 0.2820 0.4070
3 Zn 0.7180 0.1250 0.0930
4 Zn 0.8750 0.9680 0.5930
5 Ga 0.0000 0.0000 0.0000
6 Ga 0.7500 0.2500 0.5000
7 Pb 0.2500 0.7500 0.5000
8 Pb 0.5000 0.5000 0.0000

***

(A) ends up most stable, edging out the next structure by 29 meV per atom.

***

(A)
Computed, not measured: a geometry-optimized Zn3GaPb structure at the PBE-GGA level of DFT.

**Space-group type**: Pm-3m

a = 5.3771 Å, b = 5.3771 Å, c = 5.3771 Å
α = 90.00°, β = 90.00°, γ = 90.00°
Fractional positions:
1 Zn 0.0000 0.0000 0.5000
2 Zn 0.0000 0.5000 0.0000
3 Zn 0.5000 0.0000 0.0000
4 Ga 0.5000 0.5000 0.5000
5 Pb 0.0000 0.0000 0.0000

***

(B)
Computed, not measured: a geometry-optimized Zn3GaPb structure at the PBE-GGA level of DFT.

**Space-group type**: Pm-3m

a = 4.8732 Å, b = 4.8732 Å, c = 4.8732 Å
α = 90.00°, β = 90.00°, γ = 90.00°
Fractional positions:
1 Zn 0.0000 0.0000 0.5000
2 Zn 0.0000 0.5000 0.0000
3 Zn 0.5000 0.0000 0.0000
4 Ga 0.0000 0.0000 0.0000
5 Pb 0.5000 0.5000 0.5000

***

(B) ends up most stable, edging out the next structure by 332 meV per atom.

***

(A)
Computed, not measured: a geometry-optimized Zr4GaPb structure at the PBE-GGA level of DFT.

**Space-group type**: C2/c

a = 8.0555 Å, b = 8.0555 Å, c = 6.8467 Å
α = 102.02°, β = 102.02°, γ = 40.99°
Fractional positions:
1 Zr 0.0284 0.8150 0.5631
2 Zr 0.1850 0.9716 0.9369
3 Zr 0.1924 0.4679 0.8836
4 Zr 0.4679 0.1924 0.3836
5 Zr 0.5321 0.8076 0.6164
6 Zr 0.8076 0.5321 0.1164
7 Zr 0.8150 0.0284 0.0631
8 Zr 0.9716 0.1850 0.4369
9 Ga 0.0000 0.5000 0.5000
10 Ga 0.5000 0.0000 0.0000
11 Pb 0.3926 0.6074 0.2500
12 Pb 0.6074 0.3926 0.7500

***

(B)
Computed, not measured: a geometry-optimized Zr4GaPb structure at the PBE-GGA level of DFT.

**Space-group type**: P4/mcc

a = 6.8496 Å, b = 6.8496 Å, c = 5.7097 Å
α = 90.00°, β = 90.00°, γ = 90.00°
Fractional positions:
1 Zr 0.1394 0.3370 0.0000
2 Zr 0.1394 0.6630 0.5000
3 Zr 0.3370 0.1394 0.5000
4 Zr 0.3370 0.8606 0.0000
5 Zr 0.6630 0.1394 0.0000
6 Zr 0.6630 0.8606 0.5000
7 Zr 0.8606 0.3370 0.5000
8 Zr 0.8606 0.6630 0.0000
9 Ga 0.0000 0.0000 0.2500
10 Ga 0.0000 0.0000 0.7500
11 Pb 0.5000 0.5000 0.2500
12 Pb 0.5000 0.5000 0.7500

***

(B) ends up most stable, edging out the next structure by 291 meV per atom.

***

(A)
Computed, not measured: a geometry-optimized Zr3GaPb structure at the PBE-GGA level of DFT.

**Space-group type**: Pm-3m

a = 5.3565 Å, b = 5.3565 Å, c = 5.3565 Å
α = 90.00°, β = 90.00°, γ = 90.00°
Fractional positions:
1 Zr 0.0000 0.0000 0.5000
2 Zr 0.0000 0.5000 0.0000
3 Zr 0.5000 0.0000 0.0000
4 Ga 0.5000 0.5000 0.5000
5 Pb 0.0000 0.0000 0.0000

***

(B)
Computed, not measured: a geometry-optimized Zr3GaPb structure at the PBE-GGA level of DFT.

**Space-group type**: Pm-3m

a = 5.0303 Å, b = 5.0303 Å, c = 5.0303 Å
α = 90.00°, β = 90.00°, γ = 90.00°
Fractional positions:
1 Zr 0.0000 0.0000 0.5000
2 Zr 0.0000 0.5000 0.0000
3 Zr 0.5000 0.0000 0.0000
4 Ga 0.0000 0.0000 0.0000
5 Pb 0.5000 0.5000 0.5000

***

(B) ends up most stable, edging out the next structure by 882 meV per atom.